Density functional theory data (PBE) for a relaxed structure of Pr2GaSi.

Output
Total moment = 0.00 μB per atom
Symmetry = P2_1/m, No. 11
V = 207 Å³ per cell
Density of states at the Fermi level = 6.4 states/eV per cell
Formation energy (no corrections) = -0.688 eV/atom
E = -5.19 eV/atom

Geometry as POSCAR:
```
Pr2GaSi
1.0
-3.373 0.946 2.081
1.336 -4.290 4.116
3.581 7.909 2.209
Ga Pr Si
2 4 2
Direct
0.250 0.361 0.716 Ga
0.750 0.639 0.284 Ga
0.250 0.786 0.070 Pr
0.750 0.221 0.429 Pr
0.250 0.779 0.571 Pr
0.750 0.214 0.930 Pr
0.250 0.360 0.214 Si
0.750 0.640 0.786 Si
```